# ZnAs2RuI

A geometry-optimized ZnAs2RuI structure (PBE, the Alexandria database).

Fermi-level density of states, states/eV per cell: 7.63
Total moment, μB/atom: 0.21
Energy above the most stable polymorph in this dataset, eV/atom: 0.344
Space group: P4/mmm, No. 123
Uncorrected formation energy, eV per atom: 1.61
Total DFT energy (no corrections), eV per atom: -2.672

a = 5.443 Å, b = 4.881 Å, c = 5.443 Å
α = 90.00°, β = 90.00°, γ = 90.00°
Last column: magnetic moment on the atom in μB.
Fractional coordinates of all 5 atoms:
Ru  0.000  0.500  0.000  0.82
I  0.000  0.000  0.000  -0.01
Zn  0.500  0.500  0.500  0.03
As  0.000  0.000  0.500  0.01
As  0.500  0.000  0.000  0.05